No. 1
{"formula": "IrOs2Ru", "functional": "PBEsol", "state": "relaxed", "energy_ev_per_atom": -11.049, "relative_energy_mev_per_atom": 1.5, "space_group": "C2/m", "e_form_mev_per_atom": 58, "lattice_angstrom": [[-1.753, -1.453, 1.435], [2.072, -2.939, -2.970], [3.048, -0.188, 3.533]], "species": ["Os", "Os", "Ru", "Ir"], "frac_coords": [[0.251, 0.501, 0.254], [0.749, 0.499, 0.746], [0.000, 0.000, 0.500], [0.500, 0.000, 0.000]]}

=====

No. 2
{"formula": "IrOs2Ru", "functional": "PBEsol", "state": "relaxed", "energy_ev_per_atom": -11.047, "relative_energy_mev_per_atom": 4.3, "space_group": "I4/mmm", "e_form_mev_per_atom": 60, "lattice_angstrom": [[-1.430, -3.526, -0.046], [3.083, -1.227, -1.862], [0.889, 1.637, 4.282]], "species": ["Os", "Os", "Ir", "Ru"], "frac_coords": [[0.750, 0.250, 0.500], [0.250, 0.750, 0.500], [0.500, 0.500, 0.000], [0.000, 0.000, 0.000]]}

=====

No. 3
{"formula": "IrOs2Ru", "functional": "PBEsol", "state": "relaxed", "energy_ev_per_atom": -11.039, "relative_energy_mev_per_atom": 12.0, "space_group": "Cmmm", "e_form_mev_per_atom": 68, "lattice_angstrom": [[-1.521, -2.067, 0.794], [3.835, -2.622, 0.520], [-0.944, 2.230, 3.999]], "species": ["Ru", "Ir", "Os", "Os"], "frac_coords": [[0.500, 0.000, 0.000], [0.500, 0.500, 0.500], [0.000, 0.500, 0.000], [0.000, 0.000, 0.500]]}

=====

No. 4
{"formula": "IrOs2Ru", "functional": "PBEsol", "state": "relaxed", "energy_ev_per_atom": -11.048, "relative_energy_mev_per_atom": 3.0, "space_group": "P4mm", "e_form_mev_per_atom": 59, "lattice_angstrom": [[-1.236, -1.164, 2.089], [2.378, -0.348, 1.213], [-0.724, 6.817, 3.372]], "species": ["Ru", "Os", "Os", "Ir"], "frac_coords": [[0.000, 0.000, 0.498], [0.000, 0.000, 0.001], [0.500, 0.500, 0.251], [0.500, 0.500, 0.749]]}